(1)
# Na2SnCSO7

A crystal of Na2SnCSO7 relaxed with PBEsol (SCAN, Alexandria).

Properties
Crystal system   monoclinic
Fermi-level density of states   0.00 states/eV/f.u.
E   -10.71 eV per atom

abc: 5.401 6.956 9.382
angles: 90.00 90.54 90.00
Space group P2_1/m (No. 11)
Unique sites:
Na: 0.234 0.007 0.302 x4
Sn: 0.294 0.250 0.891 x2
C: 0.271 0.250 0.603 x2
S: 0.255 0.750 0.879 x2
O: 0.002 0.750 0.819 x2
O: 0.069 0.250 0.681 x2
O: 0.245 0.750 0.039 x2
O: 0.267 0.250 0.470 x2
O: 0.395 0.578 0.830 x4
O: 0.480 0.250 0.678 x2

=====

(2)
# Na6Sn2C4SO16

A crystal of Na6Sn2C4SO16 relaxed with PBEsol (SCAN, Alexandria).

Properties
Crystal system   cubic
Fermi-level density of states   0.00 states/eV/f.u.
E   -10.24 eV per atom

abc: 14.414 14.414 14.414
angles: 90.00 90.00 90.00
Space group Fd-3 (No. 203, origin choice 2)
Unique sites:
Na: 0.083 0.375 0.375 x48
Sn: 0.000 0.000 0.500 x16
C: 0.021 0.021 0.729 x32
S: 0.125 0.125 0.125 x8
O: 0.022 0.293 0.585 x96
O: 0.065 0.065 0.065 x32

=====

(3)
# Na6V2C4SO16

A crystal of Na6V2C4SO16 relaxed with PBEsol (SCAN, Alexandria).

Properties
Crystal system   cubic
Fermi-level density of states   0.00 states/eV/f.u.
E   -9.18 eV per atom

abc: 13.883 13.883 13.883
angles: 90.00 90.00 90.00
Space group Fd-3 (No. 203, origin choice 2)
Unique sites:
Na: 0.092 0.375 0.375 x48
V: 0.000 0.000 0.500 x16
C: 0.032 0.032 0.718 x32
S: 0.125 0.125 0.125 x8
O: 0.020 0.102 0.778 x96
O: 0.063 0.063 0.063 x32

=====

(4)
# Na2SiSbCO7

A crystal of Na2SiSbCO7 relaxed with PBEsol (SCAN, Alexandria).

Properties
Crystal system   monoclinic
Fermi-level density of states   2.35 states/eV/f.u.
E   -11.09 eV per atom

abc: 5.217 6.728 9.257
angles: 90.00 90.82 90.00
Space group P2_1/m (No. 11)
Unique sites:
Na: 0.241 0.012 0.225 x4
Si: 0.291 0.750 0.582 x2
Sb: 0.210 0.250 0.635 x2
C: 0.274 0.250 0.921 x2
O: 0.051 0.250 0.851 x2
O: 0.177 0.750 0.414 x2
O: 0.185 0.555 0.669 x4
O: 0.293 0.250 0.055 x2
O: 0.393 0.250 0.422 x2
O: 0.474 0.250 0.835 x2

=====

(5)
# Na3SiSbCO7

A crystal of Na3SiSbCO7 relaxed with PBEsol (SCAN, Alexandria).

Properties
Crystal system   monoclinic
Fermi-level density of states   0.00 states/eV/f.u.
E   -10.79 eV per atom

abc: 5.088 6.930 9.464
angles: 90.00 92.73 90.00
Space group P2_1/m (No. 11)
Unique sites:
Na: 0.220 0.250 0.401 x2
Na: 0.248 0.504 0.753 x4
Si: 0.279 0.250 0.090 x2
Sb: 0.249 0.750 0.138 x2
C: 0.273 0.750 0.449 x2
O: 0.067 0.750 0.360 x2
O: 0.140 0.250 0.927 x2
O: 0.190 0.062 0.182 x4
O: 0.238 0.750 0.583 x2
O: 0.398 0.750 0.920 x2
O: 0.493 0.250 0.598 x2

=====

(6)
# NaSiSbCO7

A crystal of NaSiSbCO7 relaxed with PBEsol (SCAN, Alexandria).

Properties
Crystal system   monoclinic
Fermi-level density of states   0.00 states/eV/f.u.
E   -11.52 eV per atom

abc: 5.237 6.446 9.409
angles: 90.00 90.65 90.00
Space group P2_1 (No. 4)
Unique sites:
Na: 0.192 0.000 0.199 x2
Si: 0.286 0.297 0.565 x2
Sb: 0.223 0.802 0.653 x2
C: 0.336 0.793 0.912 x2
O: 0.097 0.793 0.859 x2
O: 0.129 0.290 0.414 x2
O: 0.209 0.496 0.663 x2
O: 0.221 0.102 0.668 x2
O: 0.392 0.803 0.039 x2
O: 0.408 0.806 0.473 x2
O: 0.493 0.283 0.194 x2

=====

Number 1: uncorrected formation energy -1.7389 eV/atom. Number 2: uncorrected formation energy -1.7275 eV/atom. Number 3: uncorrected formation energy -1.9353 eV/atom. Number 4: uncorrected formation energy -1.9673 eV/atom. Number 5: uncorrected formation energy -2.0499 eV/atom. Number 6: uncorrected formation energy -1.9547 eV/atom.